# 1
! HfH2WAu | Alexandria | GGA-PBE | relaxed; values from VASP
! E = -5.645 eV/atom
! size of the total moment = 0.000 μB/atom
! symmetry = No. 123
&SYSTEM
  ibrav = 0, nat = 5, ntyp = 4
/
ATOMIC_SPECIES
Hf 178.49 Hf.upf
Au 196.97 Au.upf
W 183.84 W.upf
H 1.01 H.upf
CELL_PARAMETERS angstrom
3.697 0.000 0.000
0.000 5.576 0.000
0.000 0.000 3.697
ATOMIC_POSITIONS crystal
Hf 0.500 0.500 0.500
Au 0.000 0.000 0.000
W 0.000 0.500 0.000
H 0.000 0.000 0.500
H 0.500 0.000 0.000

---

# 2
! HfZnHAu2 | Alexandria | GGA-PBE | relaxed; values from VASP
! E = -3.914 eV/atom
! size of the total moment = 0.000 μB/atom
! symmetry = No. 123
&SYSTEM
  ibrav = 0, nat = 5, ntyp = 4
/
ATOMIC_SPECIES
Hf 178.49 Hf.upf
Zn 65.41 Zn.upf
Au 196.97 Au.upf
H 1.01 H.upf
CELL_PARAMETERS angstrom
-1.975 -4.739 1.231
0.388 -1.059 -3.455
4.863 -1.746 1.081
ATOMIC_POSITIONS crystal
Hf 0.000 0.000 0.000
Zn 0.500 0.500 0.500
Au 0.000 0.000 0.500
Au 0.500 0.000 0.000
H 0.000 0.500 0.000

---

# 3
! Hf2ZnHAu | Alexandria | GGA-PBE | relaxed; values from VASP
! E = -5.827 eV/atom
! size of the total moment = 0.000 μB/atom
! symmetry = No. 123
&SYSTEM
  ibrav = 0, nat = 5, ntyp = 4
/
ATOMIC_SPECIES
Hf 178.49 Hf.upf
Zn 65.41 Zn.upf
Au 196.97 Au.upf
H 1.01 H.upf
CELL_PARAMETERS angstrom
-2.159 -2.469 -2.756
3.543 -2.300 -0.716
-1.040 -2.574 3.122
ATOMIC_POSITIONS crystal
Hf 0.000 0.500 0.000
Hf 0.500 0.000 0.000
Zn 0.000 0.000 0.500
Au 0.500 0.500 0.500
H 0.000 0.000 0.000

---

# 4
! Hf2ZrHAu | Alexandria | GGA-PBE | relaxed; values from VASP
! size of the total moment = 0.000 μB/atom
! symmetry = No. 123
! energy above the lowest structure with this stoichiometry = 123.1 meV per atom
&SYSTEM
  ibrav = 0, nat = 5, ntyp = 4
/
ATOMIC_SPECIES
Hf 178.49 Hf.upf
Au 196.97 Au.upf
Zr 91.22 Zr.upf
H 1.01 H.upf
CELL_PARAMETERS angstrom
4.342 0.000 0.000
0.000 4.342 0.000
0.000 0.000 4.500
ATOMIC_POSITIONS crystal
Hf 0.000 0.500 0.000
Hf 0.500 0.000 0.000
Au 0.000 0.000 0.500
Zr 0.500 0.500 0.500
H 0.000 0.000 0.000